Entry 1:
Here is a relaxed structure of Eu3ErH from Alexandria. Energies are from PBE.

The structure in extended XYZ format:
```
5
Lattice="5.2634 0.0000 0.0000 0.0000 5.2634 0.0000 0.0000 0.0000 5.2634" Properties=species:S:1:pos:R:3 pbc="T T T"
Eu 0.0000 0.0000 2.6317
Eu 0.0000 2.6317 0.0000
Eu 2.6317 0.0000 0.0000
Er 2.6317 2.6317 2.6317
H 0.0000 0.0000 0.0000
```

## Properties
SG	Pm-3m (221)
raw total energy	-7.85	eV per atom



Entry 2:
Here is a relaxed structure of EuErHf from Alexandria. Energies are from PBE.

The structure in extended XYZ format:
```
3
Lattice="-1.6937 1.6937 7.6579 1.6937 -1.6937 7.6579 1.6937 1.6937 -7.6579" Properties=species:S:1:pos:R:3 pbc="T T T"
Eu 0.0000 0.0000 0.0000
Er 0.0000 0.0000 4.7060
Hf 0.0000 0.0000 10.2198
```

## Properties
SG	I4mm (107)
raw total energy	-8.07	eV per atom
formation energy	0.199	eV/atom



Entry 3:
Here is a relaxed structure of Eu2ErHg from Alexandria. Energies are from PBE.

The structure in extended XYZ format:
```
4
Lattice="3.7876 0.0000 0.0000 0.0000 3.7876 0.0000 0.0000 0.0000 9.1484" Properties=species:S:1:pos:R:3 pbc="T T T"
Eu 0.0000 0.0000 1.9804
Eu 0.0000 0.0000 7.1680
Er 1.8938 1.8938 4.5742
Hg 1.8938 1.8938 0.0000
```

## Properties
SG	P4/mmm (123)
raw total energy	-6.53	eV per atom
formation energy	-0.180	eV/atom
polymorph energy (0 for the lowest one)	0	meV per atom



Entry 4:
Here is a relaxed structure of EuErHg2 from Alexandria. Energies are from PBE.

The structure in extended XYZ format:
```
4
Lattice="3.7738 0.0000 0.0000 0.0000 3.7738 0.0000 0.0000 0.0000 7.6259" Properties=species:S:1:pos:R:3 pbc="T T T"
Eu 0.0000 0.0000 0.0000
Er 0.0000 0.0000 3.8130
Hg 1.8869 1.8869 2.0943
Hg 1.8869 1.8869 5.5316
```

## Properties
SG	P4/mmm (123)
raw total energy	-4.37	eV per atom
formation energy	-0.510	eV/atom



Entry 5:
Here is a relaxed structure of EuErHg from Alexandria. Energies are from PBE.

The structure in extended XYZ format:
```
3
Lattice="5.2145 0.0000 0.0000 -2.6073 4.5159 0.0000 0.0000 0.0000 3.9354" Properties=species:S:1:pos:R:3 pbc="T T T"
Eu 0.0000 0.0000 0.0000
Er 0.0000 3.0106 1.9829
Hg 2.6073 1.5053 1.9079
```

## Properties
SG	P3m1 (156)
raw total energy	-5.24	eV per atom
formation energy	-0.191	eV/atom
polymorph energy (0 for the lowest one)	100	meV per atom



Entry 6:
Here is a relaxed structure of EuErHg from Alexandria. Energies are from PBE.

The structure in extended XYZ format:
```
3
Lattice="-1.8873 1.8873 6.4482 1.8873 -1.8873 6.4482 1.8873 1.8873 -6.4482" Properties=species:S:1:pos:R:3 pbc="T T T"
Eu 0.0000 0.0000 0.0000
Er 0.0000 0.0000 3.6998
Hg 0.0000 0.0000 8.5827
```

## Properties
SG	I4mm (107)
raw total energy	-5.34	eV per atom
formation energy	-0.291	eV/atom
polymorph energy (0 for the lowest one)	0	meV per atom



Entry 7:
Here is a relaxed structure of Eu2ErHg from Alexandria. Energies are from PBE.

The structure in extended XYZ format:
```
4
Lattice="4.9764 0.0000 0.0000 0.0000 4.9764 0.0000 0.0000 0.0000 4.9637" Properties=species:S:1:pos:R:3 pbc="T T T"
Eu 0.0000 2.4882 0.0000
Eu 2.4882 0.0000 0.0000
Er 0.0000 0.0000 2.4818
Hg 2.4882 2.4882 2.4818
```

## Properties
SG	P4/mmm (123)
raw total energy	-6.45	eV per atom
formation energy	-0.099	eV/atom
polymorph energy (0 for the lowest one)	81	meV per atom



Entry 8:
Here is a relaxed structure of Eu2ErHg from Alexandria. Energies are from PBE.

The structure in extended XYZ format:
```
4
Lattice="1.8050 1.0421 12.0016 -1.8050 1.0421 12.0016 0.0000 -2.0842 12.0016" Properties=species:S:1:pos:R:3 pbc="T T T"
Eu 0.0000 0.0000 3.4211
Eu 0.0000 0.0000 32.5837
Er 0.0000 0.0000 0.0000
Hg 0.0000 0.0000 18.0024
```

## Properties
SG	R-3m (166)
raw total energy	-6.28	eV per atom
formation energy	0.074	eV/atom
polymorph energy (0 for the lowest one)	254	meV per atom



Entry 9:
Here is a relaxed structure of EuErHgIr from Alexandria. Energies are from PBE.

The structure in extended XYZ format:
```
4
Lattice="0.0000 3.5942 3.5942 3.5942 0.0000 3.5942 3.5942 3.5942 0.0000" Properties=species:S:1:pos:R:3 pbc="T T T"
Eu 0.0000 0.0000 0.0000
Er 3.5942 3.5942 3.5942
Hg 1.7971 1.7971 1.7971
Ir 5.3913 5.3913 5.3913
```

## Properties
SG	F-43m (216)
raw total energy	-6.46	eV per atom
formation energy	-0.458	eV/atom



Entry 10:
Here is a relaxed structure of LaEuErHg from Alexandria. Energies are from PBE.

The structure in extended XYZ format:
```
4
Lattice="0.0000 3.9270 3.9270 3.9270 0.0000 3.9270 3.9270 3.9270 0.0000" Properties=species:S:1:pos:R:3 pbc="T T T"
La 0.0000 0.0000 0.0000
Eu 5.8905 5.8905 5.8905
Er 3.9270 3.9270 3.9270
Hg 1.9635 1.9635 1.9635
```

## Properties
SG	F-43m (216)
raw total energy	-5.08	eV per atom
formation energy	-0.060	eV/atom



Entry 11:
Here is a relaxed structure of EuErMgHg from Alexandria. Energies are from PBE.

The structure in extended XYZ format:
```
4
Lattice="0.0000 3.8147 3.8147 3.8147 0.0000 3.8147 3.8147 3.8147 0.0000" Properties=species:S:1:pos:R:3 pbc="T T T"
Eu 0.0000 0.0000 0.0000
Er 3.8147 3.8147 3.8147
Mg 5.7221 5.7221 5.7221
Hg 1.9074 1.9074 1.9074
```

## Properties
SG	F-43m (216)
raw total energy	-4.43	eV per atom
formation energy	-0.243	eV/atom



Entry 12:
Here is a relaxed structure of NaEuErHg from Alexandria. Energies are from PBE.

The structure in extended XYZ format:
```
4
Lattice="0.0000 3.8683 3.8683 3.8683 0.0000 3.8683 3.8683 3.8683 0.0000" Properties=species:S:1:pos:R:3 pbc="T T T"
Na 0.0000 0.0000 0.0000
Eu 5.8024 5.8024 5.8024
Er 1.9341 1.9341 1.9341
Hg 3.8683 3.8683 3.8683
```

## Properties
SG	F-43m (216)
raw total energy	-4.19	eV per atom
formation energy	-0.075	eV/atom



- Which formula does entry 8 have?
  Eu2ErHg



- Which value of raw total energy does entry 8 give?
  -6.28 eV per atom



- Which value of raw total energy does entry 6 give?
  -5.34 eV per atom